# 1
Computed, not measured: CuNi2Ir after structural relaxation at the PBEsol level of DFT. Values from VASP.

Output
* total DFT energy (no corrections): -26.29 eV/cell
* size of the total moment: 0.01 μB per formula unit
* E_form: 4 kJ per mole of atoms

Quantum ESPRESSO input file:
```
&SYSTEM
  ibrav = 0, nat = 4, ntyp = 3
/
ATOMIC_SPECIES
Cu 63.55 Cu.upf
Ni 58.69 Ni.upf
Ir 192.22 Ir.upf
CELL_PARAMETERS angstrom
2.571 0.000 0.000
0.000 4.143 0.000
0.000 0.000 4.369
ATOMIC_POSITIONS crystal
Cu 0.000 0.000 0.000
Ni 0.500 0.000 0.493
Ni 0.500 0.500 0.147
Ir 0.000 0.500 0.643
```



# 2
Computed, not measured: Ce2Fe17 after structural relaxation at the PBEsol level of DFT. Values from VASP.

Output
* total DFT energy (no corrections): -164.61 eV/cell
* size of the total moment: 26.75 μB per formula unit
* E_form: 5 kJ per mole of atoms

Quantum ESPRESSO input file:
```
&SYSTEM
  ibrav = 0, nat = 19, ntyp = 2
/
ATOMIC_SPECIES
Ce 140.12 Ce.upf
Fe 55.84 Fe.upf
CELL_PARAMETERS angstrom
4.078 2.354 4.055
-4.078 2.354 4.055
0.000 -4.709 4.055
ATOMIC_POSITIONS crystal
Ce 0.159 0.159 0.159
Ce 0.841 0.841 0.841
Fe 0.000 0.500 0.500
Fe 0.160 0.160 0.659
Fe 0.160 0.659 0.160
Fe 0.207 0.500 0.793
Fe 0.207 0.793 0.500
Fe 0.341 0.840 0.840
Fe 0.405 0.405 0.405
Fe 0.500 0.000 0.500
Fe 0.500 0.207 0.793
Fe 0.500 0.500 0.000
Fe 0.500 0.793 0.207
Fe 0.595 0.595 0.595
Fe 0.659 0.160 0.160
Fe 0.793 0.207 0.500
Fe 0.793 0.500 0.207
Fe 0.840 0.341 0.840
Fe 0.840 0.840 0.341
```



# 3
Computed, not measured: YMn2Cu2 after structural relaxation at the PBEsol level of DFT. Values from VASP.

Output
* total DFT energy (no corrections): -67.13 eV/cell
* size of the total moment: 0.01 μB per formula unit
* E_form: 28 kJ per mole of atoms

Quantum ESPRESSO input file:
```
&SYSTEM
  ibrav = 0, nat = 10, ntyp = 3
/
ATOMIC_SPECIES
Y 88.91 Y.upf
Mn 54.94 Mn.upf
Cu 63.55 Cu.upf
CELL_PARAMETERS angstrom
3.445 0.000 0.000
0.000 3.445 0.000
0.000 0.000 12.029
ATOMIC_POSITIONS crystal
Y 0.000 0.000 0.000
Y 0.500 0.500 0.500
Mn 0.000 0.500 0.250
Mn 0.000 0.500 0.750
Mn 0.500 0.000 0.250
Mn 0.500 0.000 0.750
Cu 0.000 0.000 0.396
Cu 0.000 0.000 0.604
Cu 0.500 0.500 0.104
Cu 0.500 0.500 0.896
```



Question: Which value of size of the total moment does entry 3 give?
Answer: 0.01 μB per formula unit



Question: Look up the size of the total moment of the first one.
Answer: 0.01 μB per formula unit